Record 1
# InOsPt2, optimized geometry, DFT PBE-GGA
# * energy relative to the lowest polymorph listed for this composition: 0.0905 eV/atom
# * total DFT energy (no corrections): -51.0 eV for the cell shown
# * volume: 130.72 Å³ per cell
# * formation energy from the elements: 142 meV per atom
data_InOsPt2
_chemical_formula_sum 'In2 Os2 Pt4'
_symmetry_space_group_name_H-M 'I 4/m m m'
_symmetry_Int_Tables_number 139
_symmetry_space_group_name_Hall '-I 4 2'
_cell_length_a 4.056
_cell_length_b 4.056
_cell_length_c 7.946
_cell_angle_alpha 90.00
_cell_angle_beta 90.00
_cell_angle_gamma 90.00
loop_
_atom_site_label
_atom_site_fract_x
_atom_site_fract_y
_atom_site_fract_z
In1 0.000 0.000 0.000
Os1 0.000 0.000 0.500
Pt1 0.000 0.500 0.250

Record 2
# InOsPt2, optimized geometry, DFT PBE-GGA
# * energy relative to the lowest polymorph listed for this composition: 0.1269 eV/atom
# * total DFT energy (no corrections): -25.3 eV for the cell shown
# * volume: 66.61 Å³ per cell
# * formation energy from the elements: 179 meV per atom
data_InOsPt2
_chemical_formula_sum 'In1 Os1 Pt2'
_symmetry_space_group_name_H-M 'P 4 m m'
_symmetry_Int_Tables_number 99
_symmetry_space_group_name_Hall 'P 4 -2'
_cell_length_a 3.364
_cell_length_b 3.364
_cell_length_c 5.885
_cell_angle_alpha 90.00
_cell_angle_beta 90.00
_cell_angle_gamma 90.00
loop_
_atom_site_label
_atom_site_fract_x
_atom_site_fract_y
_atom_site_fract_z
In1 0.000 0.000 0.000
Os1 0.500 0.500 0.286
Pt1 0.000 0.000 0.490
Pt2 0.500 0.500 0.755

Record 3
# InOsPt2, optimized geometry, DFT PBE-GGA
# * energy relative to the lowest polymorph listed for this composition: 0.0139 eV/atom
# * total DFT energy (no corrections): -25.8 eV for the cell shown
# * volume: 65.41 Å³ per cell
# * formation energy from the elements: 66 meV per atom
data_InOsPt2
_chemical_formula_sum 'In1 Os1 Pt2'
_symmetry_space_group_name_H-M 'P 4/m m m'
_symmetry_Int_Tables_number 123
_symmetry_space_group_name_Hall '-P 4 2'
_cell_length_a 2.870
_cell_length_b 2.870
_cell_length_c 7.943
_cell_angle_alpha 90.00
_cell_angle_beta 90.00
_cell_angle_gamma 90.00
loop_
_atom_site_label
_atom_site_fract_x
_atom_site_fract_y
_atom_site_fract_z
In1 0.000 0.000 0.000
Os1 0.000 0.000 0.500
Pt1 0.500 0.500 0.263